Here is a relaxed structure of LiDyPa from OQMD. Energies are from PBE.

```
3
Lattice="-3.538 2.503 2.110 -3.207 2.382 -2.697 -4.552 -1.562 -0.274" Properties=species:S:1:pos:R:3 pbc="T T T"
Pa -8.473 2.493 -0.646
Li -2.824 0.831 -0.215
Dy 0.000 0.000 0.000
```

Computed properties:
For the total energy, the calculation gives -4.1332 eV/atom. As for the space group: No. 216.